# GGA-PBE Cs3YAg2F9, optimized geometry
# - crystal system = trigonal
# - formation energy (no corrections) (eV/atom) = -2.599
# - total DFT energy (no corrections) (eV per cell) = -70.5
data_Cs3YAg2F9
_cell_length_a 6.5111
_cell_length_b 6.5111
_cell_length_c 8.0646
_cell_angle_alpha 90.00
_cell_angle_beta 90.00
_cell_angle_gamma 120.00
_space_group_name_H-M_alt 'P -3 m 1'
_space_group_IT_number 164
_space_group_name_Hall '-P 3 2"'
loop_
_atom_site_label
_atom_site_type_symbol
_atom_site_fract_x
_atom_site_fract_y
_atom_site_fract_z
Cs1 Cs 0.0000 0.0000 0.0000
Cs2 Cs 0.3333 0.6667 0.6903
Y1 Y 0.0000 0.0000 0.5000
Ag1 Ag 0.3333 0.6667 0.1635
F1 F 0.0000 0.5000 0.0000
F2 F 0.1589 0.3178 0.3427